Density functional theory data (PBE) for a relaxed structure of Nd2SiAu3.

abc: 3.755 4.489 8.140
angles: 90.00 90.00 90.00
Atoms (fractional coordinates):
Nd 0.000 0.000 0.000
Nd 0.000 0.500 0.499
Si 0.500 0.500 0.826
Au 0.500 0.000 0.341
Au 0.500 0.000 0.684
Au 0.500 0.500 0.140

D(E_F) = 3.7 states/eV per cell
M_tot = 0.0 μB per cell
space-group type = Pmm2
calculated total energy = -0.35977 Ry per atom